This record from Alexandria describes Bi2SbPb2 after structural relaxation. The functional is PBE-GGA.

Values from the calculation:
For the density, the calculation gives 9.66 Mg/m³. For the energy above the most stable polymorph in this dataset, the calculation gives 159 meV/atom. Its space group is P4/mbm. The value obtained for the uncorrected formation energy is 0.225 eV/atom.

Cell: 9.741 9.741 3.458 Å, 90.00 90.00 90.00°
Sites, in units of the cell vectors:
Pb (0.639, 0.139, 0.000)
Pb (0.139, 0.361, 0.000)
Sb (0.000, 0.000, 0.000)
Pb (0.361, 0.861, 0.000)
Sb (0.500, 0.500, 0.000)
Bi (0.340, 0.160, 0.500)
Bi (0.660, 0.840, 0.500)
Pb (0.861, 0.639, 0.000)
Bi (0.160, 0.660, 0.500)
Bi (0.840, 0.340, 0.500)